{"formula": "BaTe3Au", "functional": "PBE-GGA", "state": "relaxed", "cell": [[-0.290, 0.599, -5.520], [4.224, -3.563, -0.608], [-3.603, -4.226, -0.270]], "species": ["Te", "Te", "Te", "Au", "Ba"], "frac_coords": [[0.000, 0.000, 0.500], [0.500, 0.000, 0.000], [0.000, 0.500, 0.000], [0.000, 0.000, 0.000], [0.500, 0.500, 0.500]], "sg": "Pm-3m", "m_tot_mub_per_cell": 0.00, "polymorph_energy_ev_per_fu": 0.65, "formation_energy_uncorrected_mev_per_atom": -537}



{"formula": "Cs4Rb2Au3F2", "functional": "PBE-GGA", "state": "relaxed", "cell": [[5.759, 0.000, 0.000], [0.000, 5.759, 0.000], [-2.880, -2.880, 14.240]], "species": ["Cs", "Cs", "Cs", "Cs", "Au", "Au", "Au", "F", "F", "Rb", "Rb"], "frac_coords": [[0.914, 0.414, 0.829], [0.586, 0.086, 0.171], [0.414, 0.914, 0.829], [0.086, 0.586, 0.171], [0.000, 0.000, 0.000], [0.173, 0.173, 0.346], [0.827, 0.827, 0.654], [0.606, 0.606, 0.212], [0.394, 0.394, 0.788], [0.298, 0.298, 0.597], [0.702, 0.702, 0.403]], "sg": "I4/mmm", "m_tot_mub_per_cell": 0.00, "formation_energy_uncorrected_mev_per_atom": -1114}



{"formula": "Na12Pt3F5", "functional": "PBE-GGA", "state": "relaxed", "cell": [[13.024, 0.000, 0.000], [-4.341, 12.279, 0.000], [-4.341, -6.140, 10.634]], "species": ["Na", "Na", "Na", "Na", "Na", "Na", "Na", "Na", "Na", "Na", "Na", "Na", "Na", "Na", "Na", "Na", "Na", "Na", "Na", "Na", "Na", "Na", "Na", "Na", "Na", "Na", "Na", "Na", "Na", "Na", "Na", "Na", "Na", "Na", "Na", "Na", "Na", "Na", "Na", "Na", "Na", "Na", "Na", "Na", "Na", "Na", "Na", "Na", "F", "F", "F", "F", "F", "F", "F", "F", "F", "F", "F", "F", "F", "F", "F", "F", "F", "F", "F", "F", "Pt", "Pt", "Pt", "Pt", "Pt", "Pt", "Pt", "Pt", "Pt", "Pt", "Pt", "Pt"], "frac_coords": [[0.321, 0.526, 0.404], [0.622, 0.596, 0.916], [0.084, 0.179, 0.206], [0.096, 0.916, 0.122], [0.096, 0.179, 0.474], [0.878, 0.584, 0.904], [0.122, 0.706, 0.526], [0.904, 0.084, 0.878], [0.596, 0.622, 0.416], [0.706, 0.122, 0.026], [0.904, 0.821, 0.526], [0.679, 0.206, 0.584], [0.584, 0.706, 0.679], [0.526, 0.321, 0.904], [0.974, 0.596, 0.179], [0.378, 0.974, 0.794], [0.878, 0.294, 0.474], [0.794, 0.474, 0.378], [0.416, 0.294, 0.321], [0.294, 0.416, 0.821], [0.206, 0.526, 0.622], [0.206, 0.679, 0.084], [0.794, 0.321, 0.916], [0.321, 0.794, 0.416], [0.596, 0.974, 0.679], [0.294, 0.878, 0.974], [0.026, 0.622, 0.706], [0.916, 0.096, 0.622], [0.679, 0.474, 0.596], [0.474, 0.794, 0.878], [0.026, 0.404, 0.821], [0.404, 0.378, 0.584], [0.416, 0.122, 0.596], [0.378, 0.404, 0.084], [0.622, 0.026, 0.206], [0.706, 0.584, 0.179], [0.821, 0.904, 0.026], [0.974, 0.378, 0.294], [0.179, 0.096, 0.974], [0.084, 0.904, 0.378], [0.474, 0.679, 0.096], [0.821, 0.916, 0.294], [0.526, 0.206, 0.122], [0.179, 0.084, 0.706], [0.584, 0.878, 0.404], [0.404, 0.026, 0.321], [0.122, 0.416, 0.096], [0.916, 0.821, 0.794], [0.500, 0.500, 0.500], [0.000, 0.500, 0.000], [0.000, 0.000, 0.000], [0.250, 0.875, 0.125], [0.625, 0.875, 0.250], [0.750, 0.125, 0.875], [0.500, 0.000, 0.000], [0.125, 0.750, 0.375], [0.875, 0.625, 0.750], [0.000, 0.500, 0.500], [0.375, 0.125, 0.750], [0.875, 0.250, 0.625], [0.750, 0.625, 0.375], [0.125, 0.375, 0.250], [0.250, 0.375, 0.625], [0.500, 0.500, 0.000], [0.375, 0.250, 0.125], [0.500, 0.000, 0.500], [0.000, 0.000, 0.500], [0.625, 0.750, 0.875], [0.750, 0.375, 0.125], [0.125, 0.250, 0.875], [0.875, 0.125, 0.250], [0.250, 0.625, 0.875], [0.625, 0.375, 0.750], [0.375, 0.625, 0.250], [0.250, 0.125, 0.375], [0.625, 0.250, 0.375], [0.750, 0.875, 0.625], [0.375, 0.750, 0.625], [0.875, 0.750, 0.125], [0.125, 0.875, 0.750]], "sg": "Ia-3d", "m_tot_mub_per_cell": 0.00, "formation_energy_uncorrected_mev_per_atom": -1270}



{"formula": "In2CoRh", "functional": "PBE-GGA", "state": "relaxed", "cell": [[-1.696, -8.060, -1.860], [-0.443, -7.117, -4.523], [1.376, -8.036, -2.199]], "species": ["Co", "In", "In", "Rh"], "frac_coords": [[0.750, 0.750, 0.750], [0.002, 0.002, 0.002], [0.498, 0.498, 0.498], [0.250, 0.250, 0.250]], "ef_ev_per_atom": 0.08, "sg": "R-3m", "m_tot_mub_per_cell": 0.92}



{"formula": "Pa2Ge5Pd3", "functional": "PBE-GGA", "state": "relaxed", "cell": [[6.218, 0.000, 0.000], [3.109, 7.847, 0.106], [3.109, 1.315, 7.737]], "species": ["Pa", "Pa", "Pa", "Pa", "Ge", "Ge", "Ge", "Ge", "Ge", "Ge", "Ge", "Ge", "Ge", "Ge", "Pd", "Pd", "Pd", "Pd", "Pd", "Pd"], "frac_coords": [[0.130, 0.595, 0.145], [0.370, 0.855, 0.405], [0.870, 0.405, 0.855], [0.630, 0.145, 0.595], [0.466, 0.784, 0.784], [0.750, 0.500, 0.500], [0.101, 0.062, 0.736], [0.250, 0.500, 0.500], [0.399, 0.264, 0.938], [0.966, 0.784, 0.784], [0.034, 0.216, 0.216], [0.534, 0.216, 0.216], [0.899, 0.938, 0.264], [0.601, 0.736, 0.062], [0.852, 0.751, 0.545], [0.148, 0.249, 0.455], [0.750, 0.000, 0.000], [0.352, 0.545, 0.751], [0.648, 0.455, 0.249], [0.250, 0.000, 0.000]], "ef_ev_per_atom": -0.49, "sg": "Ibam", "m_tot_mub_per_cell": 2.99, "polymorph_energy_ev_per_fu": 0.00}



{"formula": "Sc2FeP", "functional": "PBE-GGA", "state": "relaxed", "cell": [[-0.503, 3.383, 1.637], [-1.697, -1.592, 2.770], [3.442, -1.292, 3.728]], "species": ["Sc", "Sc", "Fe", "P"], "frac_coords": [[0.000, 0.982, 0.911], [0.500, 0.266, 0.343], [0.000, 0.697, 0.480], [0.500, 0.555, 0.766]], "ef_ev_per_atom": -0.80, "sg": "Amm2", "m_tot_mub_per_cell": 1.23}



{"formula": "Th2InBi3", "functional": "PBE-GGA", "state": "relaxed", "cell": [[-3.227, 1.218, -2.964], [-3.069, 0.033, 3.356], [1.853, 8.819, 1.608]], "species": ["Th", "Th", "Bi", "Bi", "Bi", "In"], "frac_coords": [[0.500, 0.000, 0.716], [0.000, 0.500, 0.284], [0.000, 0.500, 0.651], [0.500, 0.000, 0.349], [0.000, 0.000, 0.000], [0.500, 0.500, 0.000]], "ef_ev_per_atom": -0.47, "sg": "P-4m2", "m_tot_mub_per_cell": 0.00}



{"formula": "La3In2Pb2", "functional": "PBE-GGA", "state": "relaxed", "cell": [[-2.025, 0.949, -4.474], [-3.997, -3.372, 3.890], [-1.148, 7.142, 2.036]], "species": ["In", "In", "Pb", "Pb", "La", "La", "La"], "frac_coords": [[0.218, 0.436, 0.893], [0.782, 0.564, 0.107], [0.962, 0.924, 0.691], [0.038, 0.076, 0.309], [0.337, 0.675, 0.404], [0.500, 0.000, 0.000], [0.663, 0.325, 0.596]], "ef_ev_per_atom": -0.55, "sg": "C2/m", "m_tot_mub_per_cell": 0.00}



{"formula": "YCoRh", "functional": "PBE-GGA", "state": "relaxed", "cell": [[-2.729, -1.745, 2.997], [0.577, -4.161, 1.352], [1.443, -0.811, 4.091]], "species": ["Rh", "Co", "Y"], "frac_coords": [[0.500, 0.500, 0.500], [0.000, 0.000, 0.000], [0.750, 0.750, 0.750]], "ef_ev_per_atom": 0.51, "sg": "F-43m", "m_tot_mub_per_cell": 1.13}



{"formula": "TeRuW2", "functional": "PBE-GGA", "state": "relaxed", "cell": [[3.101, 0.000, 0.000], [0.000, 4.017, 0.000], [0.000, 0.000, 5.542]], "species": ["Te", "Ru", "W", "W"], "frac_coords": [[0.500, 0.500, 0.724], [0.000, 0.000, 0.516], [0.000, 0.000, 0.036], [0.500, 0.500, 0.224]], "sg": "Pmm2", "m_tot_mub_per_cell": 0.00, "formation_energy_uncorrected_mev_per_atom": 575}



{"formula": "CaTeMo2", "functional": "PBE-GGA", "state": "relaxed", "cell": [[-1.287, -2.322, 4.730], [2.615, -4.717, 0.575], [1.173, 5.227, -0.846]], "species": ["Ca", "Te", "Mo", "Mo"], "frac_coords": [[0.237, 0.737, 0.500], [0.509, 0.509, 0.000], [0.969, 0.969, 0.000], [0.785, 0.285, 0.500]], "sg": "Imm2", "m_tot_mub_per_cell": 0.00, "formation_energy_uncorrected_mev_per_atom": 369}



{"formula": "PaTl2Cl4F2", "functional": "PBE-GGA", "state": "relaxed", "cell": [[-2.896, 0.272, -4.841], [-6.437, -0.806, 2.810], [-3.321, 6.097, 1.333]], "species": ["Tl", "Tl", "F", "F", "Cl", "Cl", "Cl", "Cl", "Pa"], "frac_coords": [[0.187, 0.679, 0.679], [0.813, 0.321, 0.321], [0.211, 0.136, 0.136], [0.789, 0.864, 0.864], [0.707, 0.858, 0.363], [0.293, 0.142, 0.637], [0.293, 0.637, 0.142], [0.707, 0.363, 0.858], [0.500, 0.000, 0.000]], "sg": "C2/m", "m_tot_mub_per_cell": 1.01, "formation_energy_uncorrected_mev_per_atom": -2032}



{"formula": "Li3TbCe3Se8", "functional": "PBE-GGA", "state": "relaxed", "cell": [[-0.430, 7.537, -3.693], [-6.585, -2.954, 4.300], [6.802, 2.211, 3.720]], "species": ["Tb", "Se", "Se", "Se", "Se", "Se", "Se", "Se", "Se", "Li", "Li", "Li", "Ce", "Ce", "Ce"], "frac_coords": [[0.000, 0.000, 0.500], [0.245, 0.997, 0.250], [0.752, 0.997, 0.250], [0.248, 0.003, 0.750], [0.752, 0.505, 0.250], [0.248, 0.495, 0.750], [0.247, 0.494, 0.241], [0.755, 0.003, 0.750], [0.753, 0.506, 0.759], [0.000, 0.000, 0.000], [0.000, 0.500, 0.000], [0.500, 0.500, 0.000], [0.500, 0.500, 0.500], [0.000, 0.500, 0.500], [0.500, 0.000, 0.500]], "sg": "R-3m", "m_tot_mub_per_cell": 2.01, "formation_energy_uncorrected_mev_per_atom": -1633}



{"formula": "CoIr2Rh", "functional": "PBE-GGA", "state": "relaxed", "cell": [[5.593, 0.000, 0.000], [0.000, 5.593, 0.000], [2.796, 2.796, 4.968]], "species": ["Ir", "Ir", "Ir", "Ir", "Co", "Co", "Rh", "Rh"], "frac_coords": [[0.147, 0.625, 0.250], [0.875, 0.853, 0.750], [0.375, 0.397, 0.750], [0.603, 0.125, 0.250], [0.500, 0.500, 0.000], [0.250, 0.750, 0.500], [0.000, 0.000, 0.000], [0.750, 0.250, 0.500]], "ef_ev_per_atom": 1.13, "sg": "I-42d", "m_tot_mub_per_cell": 0.00, "polymorph_energy_ev_per_fu": 4.48}



{"formula": "TbErBe2", "functional": "PBE-GGA", "state": "relaxed", "cell": [[4.809, 0.000, 0.000], [2.404, 4.165, 0.000], [2.404, 1.388, 3.926]], "species": ["Be", "Be", "Er", "Tb"], "frac_coords": [[0.250, 0.250, 0.250], [0.750, 0.750, 0.750], [0.500, 0.500, 0.500], [0.000, 0.000, 0.000]], "ef_ev_per_atom": 0.10, "sg": "Fm-3m", "m_tot_mub_per_cell": 0.00}



{"formula": "Ce2Pm3UAs6", "functional": "PBE-GGA", "state": "relaxed", "cell": [[-2.253, -3.166, -1.571], [4.653, -5.493, 4.397], [-5.750, 3.643, 6.498]], "species": ["As", "As", "As", "As", "As", "As", "Ce", "Ce", "U", "Pm", "Pm", "Pm"], "frac_coords": [[0.663, 0.083, 0.326], [0.668, 0.581, 0.336], [0.332, 0.419, 0.664], [0.337, 0.917, 0.674], [0.000, 0.241, 0.999], [0.000, 0.759, 0.001], [0.834, 0.668, 0.669], [0.166, 0.332, 0.331], [0.500, 0.000, 0.000], [0.832, 0.167, 0.664], [0.500, 0.500, 0.000], [0.168, 0.833, 0.336]], "ef_ev_per_atom": -1.36, "sg": "C2/m", "m_tot_mub_per_cell": 3.78}



{"formula": "CuSi2Ni", "functional": "PBE-GGA", "state": "relaxed", "cell": [[3.237, 0.000, 0.000], [0.000, 3.237, 0.000], [0.000, 0.000, 4.738]], "species": ["Ni", "Cu", "Si", "Si"], "frac_coords": [[0.500, 0.500, 0.776], [0.000, 0.000, 0.481], [0.000, 0.000, 0.977], [0.500, 0.500, 0.266]], "sg": "P4mm", "m_tot_mub_per_cell": 0.00, "formation_energy_uncorrected_mev_per_atom": -132}



{"formula": "TbNdNpN3", "functional": "PBE-GGA", "state": "relaxed", "cell": [[3.629, 0.000, 0.000], [0.000, 7.221, 0.755], [0.000, -2.102, 8.416]], "species": ["N", "N", "N", "N", "N", "N", "Nd", "Nd", "Np", "Np", "Tb", "Tb"], "frac_coords": [[0.750, 0.898, 0.152], [0.250, 0.604, 0.879], [0.750, 0.396, 0.121], [0.750, 0.219, 0.588], [0.250, 0.102, 0.848], [0.250, 0.781, 0.412], [0.750, 0.835, 0.865], [0.250, 0.165, 0.135], [0.750, 0.943, 0.408], [0.250, 0.057, 0.592], [0.250, 0.628, 0.150], [0.750, 0.372, 0.850]], "sg": "P2_1/m", "m_tot_mub_per_cell": 2.15, "formation_energy_uncorrected_mev_per_atom": -1032}



{"formula": "PmPaHg4", "functional": "PBE-GGA", "state": "relaxed", "cell": [[5.055, -0.022, -0.027], [-2.509, 4.382, -0.236], [0.037, 0.376, 6.581]], "species": ["Hg", "Hg", "Hg", "Hg", "Pm", "Pa"], "frac_coords": [[0.671, 0.833, 0.238], [0.670, 0.832, 0.759], [0.338, 0.166, 0.237], [0.337, 0.166, 0.759], [0.004, 0.499, 0.498], [0.004, 0.499, 0.998]], "ef_ev_per_atom": -0.18, "sg": "P6/mmm", "m_tot_mub_per_cell": 0.00, "polymorph_energy_ev_per_fu": 0.00}



{"formula": "AlIn3Rh4", "functional": "PBE-GGA", "state": "relaxed", "cell": [[3.084, 0.000, 0.000], [0.000, 3.084, 0.000], [0.000, 0.000, 13.528]], "species": ["Rh", "Rh", "Rh", "Rh", "In", "In", "In", "Al"], "frac_coords": [[0.000, 0.000, 0.631], [0.000, 0.000, 0.892], [0.000, 0.000, 0.108], [0.000, 0.000, 0.369], [0.500, 0.500, 0.241], [0.500, 0.500, 0.759], [0.500, 0.500, 0.500], [0.500, 0.500, 0.000]], "ef_ev_per_atom": -0.58, "sg": "P4/mmm", "m_tot_mub_per_cell": 0.00}



{"formula": "Dy5Er5Sc2", "functional": "PBE-GGA", "state": "relaxed", "cell": [[4.815, 0.000, 1.029], [2.131, 7.254, 1.811], [0.290, 0.638, 10.424]], "species": ["Er", "Er", "Er", "Er", "Er", "Dy", "Dy", "Dy", "Dy", "Dy", "Sc", "Sc"], "frac_coords": [[0.165, 0.169, 0.500], [0.000, 0.000, 0.000], [0.747, 0.254, 0.252], [0.835, 0.831, 0.500], [0.253, 0.746, 0.748], [0.500, 0.500, 0.500], [0.333, 0.335, 0.000], [0.667, 0.665, 0.000], [0.581, 0.088, 0.750], [0.419, 0.912, 0.250], [0.916, 0.417, 0.751], [0.084, 0.583, 0.249]], "ef_ev_per_atom": 0.04, "sg": "C2/m", "m_tot_mub_per_cell": 0.00, "polymorph_energy_ev_per_fu": 0.00}